# PBE with a Hubbard U LiNiS2O8, optimized geometry
# calculated volume: 12.832 A^3/atom
# spin magnetization: 0.94 μB per formula unit
# final energy: -205.5 eV for the cell shown
data_LiNiS2O8
_chemical_formula_sum 'Li3 Ni3 S6 O24'
_cell_length_a 8.3578
_cell_length_b 8.3728
_cell_length_c 9.0011
_cell_angle_alpha 90.35
_cell_angle_beta 117.42
_cell_angle_gamma 119.81
_space_group_name_H-M_alt 'P 1'
_space_group_IT_number 1
loop_
_space_group_symop_operation_xyz
'x,y,z'
loop_
_atom_site_label
_atom_site_fract_x
_atom_site_fract_y
_atom_site_fract_z
Li1 0.0000 0.0000 0.0000
Li2 0.1052 0.9301 0.7025
Li3 0.3251 0.7499 0.0069
Ni1 0.0844 0.4174 0.1820
Ni2 0.6783 0.2169 0.5719
Ni3 0.6964 0.7191 0.0990
S1 0.1827 0.1161 0.3840
S2 0.1835 0.3263 0.8865
S3 0.5919 0.8175 0.3867
S4 0.6070 0.0278 0.8923
S5 0.8831 0.6073 0.8899
S6 0.8877 0.5257 0.3858
O1 0.0092 0.6741 0.5539
O2 0.0258 0.9374 0.2247
O3 0.0465 0.5593 0.3371
O4 0.0655 0.5919 0.0250
O5 0.1120 0.2505 0.3481
O6 0.1282 0.2799 0.0266
O7 0.1838 0.0654 0.5386
O8 0.2567 0.2055 0.8680
O9 0.3550 0.5371 0.9430
O10 0.3955 0.9308 0.8790
O11 0.3973 0.2036 0.4034
O12 0.4163 0.6127 0.3435
O13 0.5244 0.9459 0.4067
O14 0.5818 0.0592 0.7248
O15 0.6190 0.8442 0.2310
O16 0.6929 0.9022 0.9348
O17 0.7116 0.5418 0.2484
O18 0.7295 0.5727 0.9438
O19 0.7590 0.2142 0.0371
O20 0.7640 0.4658 0.7186
O21 0.7786 0.3292 0.4014
O22 0.7923 0.8649 0.5444
O23 0.9887 0.2808 0.7201
O24 0.9964 0.8064 0.8793